First-principles (PBE) data for a relaxed TeSeS2 crystal, as listed in Alexandria via LeMat-Bulk.

Unit cell a=6.800 b=6.800 c=6.800 alpha=90.00 beta=90.00 gamma=90.00
Space group Fm-3m (No. 225)
Symmetry-distinct sites (fractional):
Te1 0.000 0.000 0.000 [4 per cell]
Se1 0.000 0.000 0.500 [4 per cell]
S1 0.250 0.250 0.250 [8 per cell]

Properties
- ΔE_f (raw): 650 meV per atom
- M_tot: 0.00 μB per formula unit
- Excess energy over the best structure of this formula in the dataset: 563 meV per atom